NiP3F after structural relaxation. Source: the Alexandria database, functional PBE+U.

Lattice parameters (Å, degrees): 4.314 4.314 4.314 90.00 90.00 90.00
Atoms (fractional coordinates):
F: 0.500 0.500 0.500
P: 0.500 0.000 0.000
P: 0.000 0.500 0.000
Ni: 0.000 0.000 0.000
P: 0.000 0.000 0.500

Results
Energy ... -3.421 eV/atom
Space group ... No. 221